No. 1
## NaAcAgPd (GGA-PBE)

Data for a relaxed NaAcAgPd crystal.

a b c (Å): 5.2744 5.2744 5.2744
angles (deg): 60.00 60.00 60.00
Fractional positions:
Na1 0.0000 0.0000 0.0000
Ac1 0.5000 0.5000 0.5000
Ag1 0.2500 0.2500 0.2500
Pd1 0.7500 0.7500 0.7500

Computed properties:
For the total energy, the calculation gives -14.58 eV per cell. The value obtained for the formation energy is -0.28 eV per atom. The total moment is 0.0 μB per cell.

---

No. 2
## NaAcPrAg (GGA-PBE)

Data for a relaxed NaAcPrAg crystal.

a b c (Å): 5.6546 5.6546 5.6546
angles (deg): 60.00 60.00 60.00
Fractional positions:
Na1 0.0000 0.0000 0.0000
Ac1 0.2500 0.2500 0.2500
Pr1 0.7500 0.7500 0.7500
Ag1 0.5000 0.5000 0.5000

Computed properties:
For the total energy, the calculation gives -12.74 eV per cell. The value obtained for the formation energy is 0.08 eV per atom. The total moment is 0.4 μB per cell.

---

No. 3
## NaAcAgRh (GGA-PBE)

Data for a relaxed NaAcAgRh crystal.

a b c (Å): 5.1741 5.1741 5.1741
angles (deg): 60.00 60.00 60.00
Fractional positions:
Na1 0.0000 0.0000 0.0000
Ac1 0.5000 0.5000 0.5000
Ag1 0.2500 0.2500 0.2500
Rh1 0.7500 0.7500 0.7500

Computed properties:
For the total energy, the calculation gives -16.00 eV per cell. The value obtained for the formation energy is -0.09 eV per atom. The total moment is 0.0 μB per cell.

---

No. 4
## NaAc2AgS4 (GGA-PBE)

Data for a relaxed NaAc2AgS4 crystal.

a b c (Å): 6.8796 4.3521 7.6231
angles (deg): 90.00 113.14 90.00
Fractional positions:
Na1 0.0000 0.0000 0.0000
Ac1 0.5000 0.0000 0.5000
Ac2 0.5000 0.5000 0.0000
Ag1 0.0000 0.5000 0.5000
S1 0.2445 0.0000 0.7421
S2 0.2534 0.5000 0.2443
S3 0.7466 0.5000 0.7557
S4 0.7555 0.0000 0.2579

Computed properties:
For the total energy, the calculation gives -41.23 eV per cell. For the energy relative to the elements, uncorrected, the calculation gives -1.541 eV/atom. The total moment is 0.0 μB per cell.

---

No. 5
## NaAcAgSe3 (GGA-PBE)

Data for a relaxed NaAcAgSe3 crystal.

a b c (Å): 7.3703 7.3703 10.4912
angles (deg): 90.00 90.00 145.88
Fractional positions:
Na1 0.0000 0.0000 0.0000
Na2 0.0000 0.0000 0.5000
Ac1 0.2594 0.7406 0.7500
Ac2 0.7406 0.2594 0.2500
Ag1 0.4714 0.5286 0.2500
Ag2 0.5286 0.4714 0.7500
Se1 0.0791 0.9209 0.2500
Se2 0.3376 0.6624 0.0714
Se3 0.3376 0.6624 0.4286
Se4 0.6624 0.3376 0.5714
Se5 0.6624 0.3376 0.9286
Se6 0.9209 0.0791 0.7500

Computed properties:
For the total energy, the calculation gives -50.65 eV per cell. For the energy relative to the elements, uncorrected, the calculation gives -1.098 eV/atom. The total moment is 0.0 μB per cell.

---

No. 6
## NaAcAg2Sn2 (GGA-PBE)

Data for a relaxed NaAcAg2Sn2 crystal.

a b c (Å): 4.8671 4.8671 7.6085
angles (deg): 90.00 90.00 120.00
Fractional positions:
Na1 0.0000 0.0000 0.0000
Ac1 0.0000 0.0000 0.5000
Ag1 0.3333 0.6667 0.1912
Ag2 0.6667 0.3333 0.8088
Sn1 0.3333 0.6667 0.7746
Sn2 0.6667 0.3333 0.2254

Computed properties:
For the total energy, the calculation gives -21.22 eV per cell. The value obtained for the formation energy is -0.35 eV per atom. The total moment is 0.0 μB per cell.

---

No. 7
## NaAcAgSn (GGA-PBE)

Data for a relaxed NaAcAgSn crystal.

a b c (Å): 5.4957 5.4957 5.4957
angles (deg): 60.00 60.00 60.00
Fractional positions:
Na1 0.0000 0.0000 0.0000
Ac1 0.5000 0.5000 0.5000
Ag1 0.2500 0.2500 0.2500
Sn1 0.7500 0.7500 0.7500

Computed properties:
For the total energy, the calculation gives -13.54 eV per cell. The value obtained for the formation energy is -0.32 eV per atom. The total moment is 0.0 μB per cell.

---

No. 8
## NaSrAcAg (GGA-PBE)

Data for a relaxed NaSrAcAg crystal.

a b c (Å): 5.8069 5.8069 5.8069
angles (deg): 60.00 60.00 60.00
Fractional positions:
Na1 0.0000 0.0000 0.0000
Sr1 0.2500 0.2500 0.2500
Ac1 0.7500 0.7500 0.7500
Ag1 0.5000 0.5000 0.5000

Computed properties:
For the total energy, the calculation gives -9.92 eV per cell. The value obtained for the formation energy is 0.01 eV per atom. The total moment is 0.0 μB per cell.

---

Q: Which of these has the lowest total energy?
A: NaAcAgSe3

---

Q: The lowest total energy belongs to which entry?
A: NaAcAgSe3